A relaxed CaZnB2 crystal. Source: the Alexandria database, functional GGA-PBE.

```
16
Lattice="4.057 0.000 0.000 0.000 4.057 0.000 0.000 0.000 14.395" Properties=species:S:1:pos:R:3 pbc="T T T"
Ca 0.000 1.014 5.398
Ca 0.000 3.043 8.997
Ca 2.029 1.014 1.799
Ca 2.029 3.043 12.596
Zn 0.000 1.014 12.596
Zn 0.000 3.043 1.799
Zn 2.029 1.014 8.997
Zn 2.029 3.043 5.398
B 0.000 0.000 0.000
B 0.000 2.029 0.000
B 1.014 1.014 10.796
B 1.014 3.043 3.599
B 2.029 0.000 7.197
B 2.029 2.029 7.197
B 3.043 1.014 10.796
B 3.043 3.043 3.599
```

Results
The formation energy from the elements comes out at 0.40 eV/atom. The total energy comes out at -3.75 eV per atom. For the total magnetic moment, the calculation gives 0.000 Bohr magnetons per cell. The value obtained for the density of states at the Fermi level is 4.301 states/eV/cell.



A relaxed CaZn2B crystal. Source: the Alexandria database, functional GGA-PBE.

```
16
Lattice="4.744 0.000 0.000 0.000 4.744 0.000 0.000 0.000 13.976" Properties=species:S:1:pos:R:3 pbc="T T T"
Ca 0.000 1.186 5.241
Ca 0.000 3.558 8.735
Ca 2.372 1.186 1.747
Ca 2.372 3.558 12.229
Zn 0.000 0.000 0.000
Zn 0.000 2.372 0.000
Zn 1.186 1.186 10.482
Zn 1.186 3.558 3.494
Zn 2.372 0.000 6.988
Zn 2.372 2.372 6.988
Zn 3.558 1.186 10.482
Zn 3.558 3.558 3.494
B 0.000 1.186 12.229
B 0.000 3.558 1.747
B 2.372 1.186 8.735
B 2.372 3.558 5.241
```

Results
The formation energy from the elements comes out at 0.22 eV/atom. The total energy comes out at -2.58 eV per atom. For the total magnetic moment, the calculation gives 0.000 Bohr magnetons per cell. The value obtained for the density of states at the Fermi level is 7.573 states/eV/cell.



A relaxed CaZn3B crystal. Source: the Alexandria database, functional GGA-PBE.

```
5
Lattice="4.359 0.000 0.000 0.000 4.359 0.000 0.000 0.000 4.359" Properties=species:S:1:pos:R:3 pbc="T T T"
Ca 0.000 0.000 0.000
Zn 0.000 2.180 2.180
Zn 2.180 0.000 2.180
Zn 2.180 2.180 0.000
B 2.180 2.180 2.180
```

Results
The formation energy from the elements comes out at 0.21 eV/atom. The total energy comes out at -2.29 eV per atom. The value obtained for the energy above the most stable polymorph in this dataset is 0 meV/atom. For the total magnetic moment, the calculation gives 0.000 Bohr magnetons per cell. The value obtained for the density of states at the Fermi level is 2.297 states/eV/cell.



A relaxed CaZn3B crystal. Source: the Alexandria database, functional GGA-PBE.

```
5
Lattice="5.709 0.000 0.000 0.000 5.709 0.000 0.000 0.000 5.709" Properties=species:S:1:pos:R:3 pbc="T T T"
Ca 0.000 0.000 0.000
Zn 0.000 0.000 2.855
Zn 0.000 2.855 0.000
Zn 2.855 0.000 0.000
B 2.855 2.855 2.855
```

Results
The formation energy from the elements comes out at 1.71 eV/atom. The total energy comes out at -0.79 eV per atom. The value obtained for the energy above the most stable polymorph in this dataset is 1498 meV/atom. For the total magnetic moment, the calculation gives 1.872 Bohr magnetons per cell. The value obtained for the density of states at the Fermi level is 4.460 states/eV/cell.